Entry 1:
Nd2SmHo2Tm2 | PBE | optimized geometry

The calculation puts the total magnetization at 0.000 μB per cell. For the total energy, the calculation gives -31.74 eV per cell. As for the density: 7.99 Mg/m³. As for the space group: C2/m. For the density of states at the Fermi level, the calculation gives 11.772 states/eV per cell. The calculation puts the formation enthalpy at 0 K at 0.09 eV/atom.

abc: 6.1077 6.1077 11.8239
angles: 108.24 108.24 33.47
With the nearest neighbours (Å) after each atom.
Positions (direct):
1 Nd 0.1712 0.1712 0.0843  5 Nd 3.52-3.85, 4 Ho 3.52-3.61, 2 Tm 3.61
2 Nd 0.8288 0.8288 0.9157  5 Nd 3.52-3.85, 4 Ho 3.52-3.61, 2 Tm 3.61
3 Sm 0.5000 0.5000 0.5000  6 Tm 3.51-3.55, 2 Sm 3.52, 4 Ho 3.52
4 Ho 0.0495 0.0495 0.7699  3 Tm 3.48-3.56, 2 Ho 3.52, 4 Nd 3.52-3.61, 2 Sm 3.52
5 Ho 0.9505 0.9505 0.2301  3 Tm 3.48-3.56, 2 Ho 3.52, 4 Nd 3.52-3.61, 2 Sm 3.52
6 Tm 0.2742 0.2742 0.6360  3 Ho 3.48-3.56, 3 Sm 3.51-3.55, 4 Tm 3.52-3.54, 2 Nd 3.61
7 Tm 0.7258 0.7258 0.3640  3 Ho 3.48-3.56, 3 Sm 3.51-3.55, 4 Tm 3.52-3.54, 2 Nd 3.61

Entry 2:
Bi2TeF | PBE | optimized geometry

The calculation puts the total magnetization at 0.000 μB per cell. For the total energy, the calculation gives -30.33 eV per cell. As for the density: 7.65 Mg/m³. As for the space group: I-42d. For the density of states at the Fermi level, the calculation gives 3.396 states/eV per cell. The value obtained for the energy above the most stable polymorph in this dataset is 0 meV/atom. The value obtained for the uncorrected formation energy is -597 meV/atom.

abc: 9.5194 9.5194 9.5194
angles: 147.72 147.72 46.29
With the nearest neighbours (Å) after each atom.
Positions (direct):
1 Bi 0.0376 0.6250 0.9126  2 F 2.70
2 Bi 0.3750 0.2876 0.4126  2 F 2.70
3 Bi 0.7124 0.1250 0.0874  2 F 2.70
4 Bi 0.8750 0.9624 0.5874  2 F 2.70
5 Te 0.2500 0.7500 0.5000  4 Bi 3.12
6 Te 0.5000 0.5000 0.0000  4 Bi 3.12
7 F 0.0000 0.0000 0.0000  4 Bi 2.70
8 F 0.7500 0.2500 0.5000  4 Bi 2.70

Entry 3:
InFeP2 | PBE | optimized geometry

The calculation puts the total magnetization at 2.283 μB per cell. For the total energy, the calculation gives -20.35 eV per cell. As for the density: 5.94 Mg/m³. As for the space group: Imm2. For the density of states at the Fermi level, the calculation gives 2.850 states/eV per cell. The calculation puts the formation enthalpy at 0 K at 0.42 eV/atom.

abc: 5.0767 5.0767 5.0767
angles: 143.89 120.88 71.27
With the nearest neighbours (Å) after each atom.
Positions (direct):
1 In 0.0000 0.0000 0.0000  8 P 2.85-3.05, 4 Fe 2.87-3.04, 2 In 3.15
2 Fe 0.2911 0.7911 0.5000  2 P 2.35
3 P 0.5027 0.5027 0.0000  2 P 2.33, 2 Fe 2.35
4 P 0.7114 0.2114 0.5000  2 P 2.33

Entry 4:
TlNClF2 | PBE | optimized geometry

The calculation puts the total magnetization at 1.167 μB per cell. For the total energy, the calculation gives -15.80 eV per cell. As for the density: 5.38 Mg/m³. As for the space group: P4/mmm. For the density of states at the Fermi level, the calculation gives 5.039 states/eV per cell. The value obtained for the energy above the most stable polymorph in this dataset is 29 meV/atom. The value obtained for the uncorrected formation energy is 96 meV/atom.

abc: 4.3702 4.3702 4.7124
angles: 90.00 90.00 90.00
With the nearest neighbours (Å) after each atom.
Positions (direct):
1 Tl 0.0000 0.0000 0.0000  4 F 2.19, 2 N 2.36
2 N 0.0000 0.0000 0.5000  2 Tl 2.36
3 Cl 0.5000 0.5000 0.5000  4 N 3.09, 8 F 3.21
4 F 0.0000 0.5000 0.0000  2 Tl 2.19
5 F 0.5000 0.0000 0.0000  2 Tl 2.19

Entry 5:
KRbInF6 | PBE | optimized geometry

The calculation puts the total magnetization at 1.010 μB per cell. For the total energy, the calculation gives -37.29 eV per cell. As for the density: 3.70 Mg/m³. As for the space group: P1. For the density of states at the Fermi level, the calculation gives 6.012 states/eV per cell. The value obtained for the uncorrected formation energy is -2362 meV/atom.

abc: 4.5044 6.3208 6.3570
angles: 61.29 87.42 87.32
With the nearest neighbours (Å) after each atom.
Positions (direct):
1 K 0.0000 0.0000 0.0000  7 F 2.76-2.96
2 Rb 0.5868 0.6729 0.6484  9 F 2.85-3.17
3 In 0.3020 0.3322 0.3276  6 F 2.09-2.14
4 F 0.0357 0.0332 0.5451  1 In 2.12
5 F 0.0421 0.4588 0.0148  1 In 2.14
6 F 0.1023 0.5767 0.4268  1 In 2.09
7 F 0.4960 0.1149 0.1913  1 In 2.09
8 F 0.5499 0.2029 0.6445  1 In 2.12
9 F 0.5796 0.6315 0.1206  1 In 2.13

Entry 6:
SrCaScNi2 | PBE | optimized geometry

The calculation puts the total magnetization at 0.000 μB per cell. For the total energy, the calculation gives -15.64 eV per cell. As for the density: 3.80 Mg/m³. As for the space group: P4/mmm. For the density of states at the Fermi level, the calculation gives 4.552 states/eV per cell. The calculation puts the formation enthalpy at 0 K at 1.19 eV/atom.

abc: 4.8862 4.8862 5.3066
angles: 90.00 90.00 90.00
With the nearest neighbours (Å) after each atom.
Positions (direct):
1 Sr 0.0000 0.0000 0.0000  4 Ni 2.44, 2 Ca 2.65
2 Ca 0.0000 0.0000 0.5000  2 Sr 2.65
3 Sc 0.5000 0.5000 0.5000  4 Ca 3.46, 8 Ni 3.61
4 Ni 0.0000 0.5000 0.0000  2 Sr 2.44
5 Ni 0.5000 0.0000 0.0000  2 Sr 2.44

Entry 7:
CaGa3Ni5 | PBE | optimized geometry

The calculation puts the total magnetization at 0.000 μB per cell. For the total energy, the calculation gives -86.11 eV per cell. As for the density: 6.64 Mg/m³. As for the space group: Cmcm. For the density of states at the Fermi level, the calculation gives 8.503 states/eV per cell. The calculation puts the formation enthalpy at 0 K at -0.34 eV/atom.

abc: 6.4924 6.4924 11.1559
angles: 90.00 90.00 144.77
With the nearest neighbours (Å) after each atom.
Positions (direct):
1 Ca 0.2089 0.7911 0.7500  6 Ga 3.09-3.25, 8 Ni 3.16-3.43
2 Ca 0.7911 0.2089 0.2500  6 Ga 3.09-3.25, 8 Ni 3.16-3.43
3 Ga 0.0816 0.9184 0.2500  6 Ni 2.35-2.53
4 Ga 0.3784 0.6216 0.0597  7 Ni 2.34-2.56
5 Ga 0.3784 0.6216 0.4403  7 Ni 2.34-2.56
6 Ga 0.6216 0.3784 0.5597  7 Ni 2.34-2.56
7 Ga 0.6216 0.3784 0.9403  7 Ni 2.34-2.56
8 Ga 0.9184 0.0816 0.7500  6 Ni 2.35-2.53
9 Ni 0.0000 0.0000 0.0000  6 Ni 2.43-2.59, 4 Ga 2.56
10 Ni 0.0000 0.0000 0.5000  6 Ni 2.43-2.59, 4 Ga 2.56
11 Ni 0.1895 0.8105 0.0570  4 Ga 2.34-2.53, 1 Ni 2.43
12 Ni 0.1895 0.8105 0.4430  4 Ga 2.34-2.53, 1 Ni 2.43
13 Ni 0.4431 0.5569 0.6372  4 Ga 2.34-2.37, 3 Ni 2.52-2.59
14 Ni 0.4431 0.5569 0.8628  4 Ga 2.34-2.37, 3 Ni 2.52-2.59
15 Ni 0.5569 0.4431 0.1372  4 Ga 2.34-2.37, 3 Ni 2.52-2.59
16 Ni 0.5569 0.4431 0.3628  4 Ga 2.34-2.37, 3 Ni 2.52-2.59
17 Ni 0.8105 0.1895 0.5570  4 Ga 2.34-2.53, 1 Ni 2.43
18 Ni 0.8105 0.1895 0.9430  4 Ga 2.34-2.53, 1 Ni 2.43

Entry 8:
CaCu2As2 | PBE | optimized geometry

The calculation puts the total magnetization at 0.000 μB per cell. For the total energy, the calculation gives -21.93 eV per cell. As for the density: 5.75 Mg/m³. As for the space group: I4/mmm. For the density of states at the Fermi level, the calculation gives 1.809 states/eV per cell. The calculation puts the formation enthalpy at 0 K at -0.49 eV/atom.

abc: 6.2090 6.2090 6.2090
angles: 141.63 141.63 55.39
With the nearest neighbours (Å) after each atom.
Positions (direct):
1 Ca 0.0000 0.0000 0.0000  8 As 3.19, 8 Cu 3.42
2 Cu 0.2500 0.7500 0.5000  4 As 2.47
3 Cu 0.7500 0.2500 0.5000  4 As 2.47
4 As 0.3773 0.3773 0.0000  4 Cu 2.47, 1 As 2.70
5 As 0.6227 0.6227 0.0000  4 Cu 2.47, 1 As 2.70

Entry 9:
KRb2Cd2Sb2 | PBE | optimized geometry

The calculation puts the total magnetization at 0.000 μB per cell. For the total energy, the calculation gives -15.03 eV per cell. As for the density: 4.39 Mg/m³. As for the space group: R-3m. For the density of states at the Fermi level, the calculation gives 2.213 states/eV per cell. The value obtained for the uncorrected formation energy is -275 meV/atom.

abc: 10.4977 10.4977 10.4977
angles: 30.04 30.04 30.04
With the nearest neighbours (Å) after each atom.
Positions (direct):
1 K 0.0000 0.0000 0.0000  6 Cd 3.43, 6 Sb 3.68, 2 Rb 3.80
2 Rb 0.1263 0.1263 0.1263  3 Sb 3.66, 1 K 3.80, 3 Cd 3.97, 3 Rb 3.97
3 Rb 0.8737 0.8737 0.8737  3 Sb 3.66, 1 K 3.80, 3 Cd 3.97, 3 Rb 3.97
4 Cd 0.3791 0.3791 0.3791  4 Sb 3.19-3.29, 3 K 3.43
5 Cd 0.6209 0.6209 0.6209  4 Sb 3.19-3.29, 3 K 3.43
6 Sb 0.2696 0.2696 0.2696  4 Cd 3.19-3.29
7 Sb 0.7304 0.7304 0.7304  4 Cd 3.19-3.29

Entry 10:
Cs2CeAg3F12 | PBE | optimized geometry

The calculation puts the total magnetization at 0.000 μB per cell. For the total energy, the calculation gives -79.22 eV per cell. As for the density: 4.09 Mg/m³. As for the space group: R-3m. For the density of states at the Fermi level, the calculation gives 8.515 states/eV per cell. The value obtained for the uncorrected formation energy is -2254 meV/atom.

abc: 8.6520 8.6520 8.6520
angles: 53.53 53.53 53.53
With the nearest neighbours (Å) after each atom.
Positions (direct):
1 Cs 0.1101 0.1101 0.1101  6 F 3.35-3.59
2 Cs 0.8899 0.8899 0.8899  6 F 3.35-3.59
3 Ce 0.5000 0.5000 0.5000  6 F 2.18
4 Ag 0.0000 0.5000 0.5000  4 F 2.11
5 Ag 0.5000 0.0000 0.5000  4 F 2.11
6 Ag 0.5000 0.5000 0.0000  4 F 2.11
7 F 0.1746 0.5845 0.5845  1 Ce 2.18
8 F 0.1798 0.1798 0.5755  2 Ag 2.11
9 F 0.1798 0.5755 0.1798  2 Ag 2.11
10 F 0.4155 0.4155 0.8254  1 Ce 2.18
11 F 0.4155 0.8254 0.4155  1 Ce 2.18
12 F 0.4245 0.8202 0.8202  2 Ag 2.11
13 F 0.5755 0.1798 0.1798  2 Ag 2.11
14 F 0.5845 0.1746 0.5845  1 Ce 2.18
15 F 0.5845 0.5845 0.1746  1 Ce 2.18
16 F 0.8202 0.4245 0.8202  2 Ag 2.11
17 F 0.8202 0.8202 0.4245  2 Ag 2.11
18 F 0.8254 0.4155 0.4155  1 Ce 2.18

Entry 11:
PuTl2F7 | PBE | optimized geometry

The calculation puts the total magnetization at 3.819 μB per cell. For the total energy, the calculation gives -55.91 eV per cell. As for the density: 5.92 Mg/m³. As for the space group: Fm-3m. For the density of states at the Fermi level, the calculation gives 22.081 states/eV per cell. The value obtained for the energy above the most stable polymorph in this dataset is 267 meV/atom. The value obtained for the uncorrected formation energy is -2375 meV/atom.

abc: 6.7809 6.7809 6.7809
angles: 60.00 60.00 60.00
With the nearest neighbours (Å) after each atom.
Positions (direct):
1 Pu 0.0000 0.0000 0.0000  6 F 2.09
2 Tl 0.2500 0.2500 0.2500  12 F 3.40
3 Tl 0.7500 0.7500 0.7500  12 F 3.40
4 F 0.2185 0.2185 0.7815  1 Pu 2.09
5 F 0.2185 0.7815 0.2185  1 Pu 2.09
6 F 0.2185 0.7815 0.7815  1 Pu 2.09
7 F 0.5000 0.5000 0.5000  6 F 2.70
8 F 0.7815 0.2185 0.2185  1 Pu 2.09
9 F 0.7815 0.2185 0.7815  1 Pu 2.09
10 F 0.7815 0.7815 0.2185  1 Pu 2.09